No. 1
# meta-GGA SCAN TlCuNO2, single point on PBEsol structure
data_TlCuNO2
_space_group_name_H-M_alt 'P 4/m m m'
_space_group_IT_number 123
_space_group_name_Hall '-P 4 2'
_cell_length_a 4.193
_cell_length_b 4.193
_cell_length_c 4.239
_cell_angle_alpha 90.00
_cell_angle_beta 90.00
_cell_angle_gamma 90.00
loop_
_atom_site_label
_atom_site_type_symbol
_atom_site_fract_x
_atom_site_fract_y
_atom_site_fract_z
_atom_site_occupancy
Tl1 Tl 0.000 0.000 0.000 1
Cu1 Cu 0.500 0.500 0.500 1
N1 N 0.000 0.000 0.500 1
O1 O 0.000 0.500 0.000 1
# * formation energy without anion corrections: 1.224 eV per atom
# * DFT total energy: -103.2 eV/f.u.

***

No. 2
# meta-GGA SCAN CuOsPtN2, single point on PBEsol structure
data_CuOsPtN2
_space_group_name_H-M_alt 'P 4/m m m'
_space_group_IT_number 123
_space_group_name_Hall '-P 4 2'
_cell_length_a 3.748
_cell_length_b 3.748
_cell_length_c 4.801
_cell_angle_alpha 90.00
_cell_angle_beta 90.00
_cell_angle_gamma 90.00
loop_
_atom_site_label
_atom_site_type_symbol
_atom_site_fract_x
_atom_site_fract_y
_atom_site_fract_z
_atom_site_occupancy
Cu1 Cu 0.000 0.000 0.000 1
Os1 Os 0.500 0.500 0.000 1
Pt1 Pt 0.000 0.000 0.500 1
N1 N 0.000 0.500 0.500 1
# * formation energy without anion corrections: 2.069 eV per atom
# * DFT total energy: -165.5 eV/f.u.

***

Question: Which of these has the lowest DFT total energy?
Answer: CuOsPtN2

***

Question: Which of these has the lowest DFT total energy?
Answer: CuOsPtN2

***

Question: Among the records above, which one has the highest DFT total energy?
Answer: TlCuNO2

***

Copy entry 2 word for word.
# meta-GGA SCAN CuOsPtN2, single point on PBEsol structure
data_CuOsPtN2
_space_group_name_H-M_alt 'P 4/m m m'
_space_group_IT_number 123
_space_group_name_Hall '-P 4 2'
_cell_length_a 3.748
_cell_length_b 3.748
_cell_length_c 4.801
_cell_angle_alpha 90.00
_cell_angle_beta 90.00
_cell_angle_gamma 90.00
loop_
_atom_site_label
_atom_site_type_symbol
_atom_site_fract_x
_atom_site_fract_y
_atom_site_fract_z
_atom_site_occupancy
Cu1 Cu 0.000 0.000 0.000 1
Os1 Os 0.500 0.500 0.000 1
Pt1 Pt 0.000 0.000 0.500 1
N1 N 0.000 0.500 0.500 1
# * formation energy without anion corrections: 2.069 eV per atom
# * DFT total energy: -165.5 eV/f.u.